## Ca3Ga2GeAu6 (PBE)

Data for a geometry-optimized Ca3Ga2GeAu6 structure.

Values from the calculation:
**E**: -41.768 eV/cell
**ρ**: 9.195 Mg/m³
**Formation enthalpy at 0 K**: -43.6 kJ/mol of atoms

Cell: 6.1172 6.1172 8.4377 Å, 90.00 90.00 120.00°
Atoms (fractional coordinates):
1 Au 0.1761 0.8239 0.2811
2 Au 0.3522 0.1761 0.7189
3 Ca 0.0000 0.0000 0.0000
4 Au 0.8239 0.1761 0.7189
5 Ga 0.6667 0.3333 0.9771
6 Au 0.6478 0.8239 0.2811
7 Au 0.8239 0.6478 0.7189
8 Ga 0.3333 0.6667 0.0229
9 Ca 0.3333 0.6667 0.6269
10 Ca 0.6667 0.3333 0.3731
11 Au 0.1761 0.3522 0.2811
12 Ge 0.0000 0.0000 0.5000